Ho3Bi2Pb: optimized geometry, PBE.

Offset from the most stable computed form: 2 meV per atom
N(E_F): 0.430 states/eV/atom
Calculated formation energy: -0.66 eV/atom
Calculated total energy: -58.3 eV for the cell shown

Unit cell a=7.7660 b=7.7660 c=7.5706 alpha=99.77 beta=99.77 gamma=119.53
Last column: nearest neighbours and their distance in Å.
Atoms (fractional coordinates):
1 Ho 0.0000 0.5000 0.5000  2 Pb 3.14, 4 Bi 3.15
2 Ho 0.1671 0.3339 0.0027  4 Bi 3.13-3.16, 2 Pb 3.15-3.16
3 Ho 0.3339 0.1671 0.5027  4 Bi 3.13-3.16, 2 Pb 3.15-3.16
4 Ho 0.5000 0.0000 0.0000  2 Pb 3.14, 4 Bi 3.15
5 Ho 0.6661 0.8329 0.4973  4 Bi 3.13-3.16, 2 Pb 3.15-3.16
6 Ho 0.8329 0.6661 0.9973  4 Bi 3.13-3.16, 2 Pb 3.15-3.16
7 Bi 0.0831 0.9169 0.7500  6 Ho 3.13-3.16
8 Bi 0.2487 0.7513 0.2500  6 Ho 3.15
9 Bi 0.7513 0.2487 0.7500  6 Ho 3.15
10 Bi 0.9169 0.0831 0.2500  6 Ho 3.13-3.16
11 Pb 0.4161 0.5839 0.7500  6 Ho 3.14-3.16
12 Pb 0.5839 0.4161 0.2500  6 Ho 3.14-3.16

=====

ScAsO4F: optimized geometry, PBE.

N(E_F): 0.425 states/eV/atom
Raw formation energy: -1.9869 eV/atom
Calculated total energy: -93.2 eV for the cell shown

Unit cell a=5.6739 b=5.6739 c=6.6524 alpha=104.78 beta=104.78 gamma=74.26
Last column: nearest neighbours and their distance in Å.
Atoms (fractional coordinates):
1 Sc 0.1973 0.1973 0.1075  2 F 2.06-2.10, 4 O 2.14-2.20
2 Sc 0.8027 0.8027 0.8925  2 F 2.06-2.10, 4 O 2.14-2.20
3 As 0.3544 0.3544 0.7219  4 O 1.69-1.72
4 As 0.6456 0.6456 0.2781  4 O 1.69-1.72
5 O 0.1044 0.4859 0.8459  1 As 1.72
6 O 0.2660 0.2660 0.4560  1 As 1.69
7 O 0.4472 0.4472 0.2184  1 As 1.71
8 O 0.4859 0.1044 0.8459  1 As 1.72
9 O 0.5141 0.8956 0.1541  1 As 1.72
10 O 0.5528 0.5528 0.7816  1 As 1.71
11 O 0.7340 0.7340 0.5440  1 As 1.69
12 O 0.8956 0.5141 0.1541  1 As 1.72
13 F 0.0149 0.0149 0.8276  2 Sc 2.06-2.10
14 F 0.9851 0.9851 0.1724  2 Sc 2.06-2.10

=====

Pu2Cd15Hg2: optimized geometry, PBE.

N(E_F): 1.816 states/eV/atom
Calculated formation energy: -0.02 eV/atom
Calculated total energy: -43.5 eV for the cell shown

Unit cell a=7.7099 b=7.7099 c=7.7099 alpha=82.36 beta=82.36 gamma=82.36
Last column: nearest neighbours and their distance in Å.
Atoms (fractional coordinates):
1 Pu 0.1708 0.1708 0.1708  1 Hg 3.36, 12 Cd 3.55-3.75
2 Pu 0.8292 0.8292 0.8292  1 Hg 3.36, 12 Cd 3.55-3.75
3 Cd 0.0000 0.5000 0.5000  8 Cd 2.95-3.02, 2 Hg 3.07
4 Cd 0.1379 0.1379 0.6638  6 Cd 2.84-3.02
5 Cd 0.1379 0.6638 0.1379  6 Cd 2.84-3.02
6 Cd 0.1977 0.5000 0.8023  8 Cd 2.95-3.23
7 Cd 0.1977 0.8023 0.5000  8 Cd 2.95-3.23
8 Cd 0.3362 0.8621 0.8621  6 Cd 2.84-3.02
9 Cd 0.5000 0.0000 0.5000  8 Cd 2.95-3.02, 2 Hg 3.07
10 Cd 0.5000 0.1977 0.8023  8 Cd 2.95-3.23
11 Cd 0.5000 0.5000 0.0000  8 Cd 2.95-3.02, 2 Hg 3.07
12 Cd 0.5000 0.8023 0.1977  8 Cd 2.95-3.23
13 Cd 0.6638 0.1379 0.1379  6 Cd 2.84-3.02
14 Cd 0.8023 0.1977 0.5000  8 Cd 2.95-3.23
15 Cd 0.8023 0.5000 0.1977  8 Cd 2.95-3.23
16 Cd 0.8621 0.3362 0.8621  6 Cd 2.84-3.02
17 Cd 0.8621 0.8621 0.3362  6 Cd 2.84-3.02
18 Hg 0.3943 0.3943 0.3943  6 Cd 3.07-3.32, 1 Hg 3.17, 1 Pu 3.36
19 Hg 0.6057 0.6057 0.6057  6 Cd 3.07-3.32, 1 Hg 3.17, 1 Pu 3.36

=====

Ag2SbPb: optimized geometry, PBE.

N(E_F): 0.305 states/eV/atom
Raw formation energy: 0.1309 eV/atom
Calculated total energy: -13.0 eV for the cell shown

Unit cell a=6.3224 b=6.3224 c=6.3224 alpha=150.02 beta=130.32 gamma=59.12
Last column: nearest neighbours and their distance in Å.
Atoms (fractional coordinates):
1 Ag 0.0000 0.0000 0.0000  2 Ag 2.92, 4 Sb 3.16
2 Ag 0.7802 0.2802 0.5000  2 Ag 2.92, 2 Sb 3.04, 4 Pb 3.13
3 Sb 0.5468 0.5468 0.0000  6 Ag 3.04-3.16, 2 Sb 3.27
4 Pb 0.2622 0.7622 0.5000  6 Ag 3.13-3.32, 2 Pb 3.27